Record 1
This record from the Alexandria database describes a geometry-optimized BaAlBrCl4 structure. The functional is GGA-PBE.

a b c (Å): 7.9177 7.9177 8.8411
angles (deg): 79.02 79.02 77.89
Closest atoms and distances in Å follow each position.
Sites, in units of the cell vectors:
Ba1 0.1984 0.1984 0.8785  2 Br 3.11, 6 Cl 3.30-3.45
Ba2 0.8016 0.8016 0.1215  2 Br 3.11, 6 Cl 3.30-3.45
Al1 0.6406 0.6406 0.7363  4 Cl 2.14-2.19
Al2 0.3594 0.3594 0.2637  4 Cl 2.14-2.19
Br1 0.0323 0.0323 0.2062  2 Ba 3.11
Br2 0.9677 0.9677 0.7938  2 Ba 3.11
Cl1 0.2421 0.2421 0.4860  1 Al 2.14
Cl2 0.7579 0.7579 0.5140  1 Al 2.14
Cl3 0.1610 0.5017 0.1211  1 Al 2.19
Cl4 0.5290 0.5290 0.2853  1 Al 2.14
Cl5 0.4983 0.8390 0.8789  1 Al 2.19
Cl6 0.5017 0.1610 0.1211  1 Al 2.19
Cl7 0.4710 0.4710 0.7147  1 Al 2.14
Cl8 0.8390 0.4983 0.8789  1 Al 2.19

Properties
Space-group type: C2/m (12)
Crystal system: monoclinic
M_tot: 0.1 μB per cell
Volume: 525.40 Å³ per cell
Raw formation energy: -1862 meV per atom

=====

Record 2
This record from the Alexandria database describes a geometry-optimized BaAlGe2Br structure. The functional is GGA-PBE.

a b c (Å): 5.9095 6.7838 5.9095
angles (deg): 90.00 90.00 90.00
Closest atoms and distances in Å follow each position.
Sites, in units of the cell vectors:
Ge1 0.0000 0.0000 0.5000  2 Ba 2.95
Ge2 0.5000 0.0000 0.0000  2 Ba 2.95
Ba1 0.0000 0.0000 0.0000  4 Ge 2.95
Br1 0.5000 0.5000 0.5000  4 Al 4.18, 8 Ge 4.50
Al1 0.0000 0.5000 0.0000  2 Ba 3.39

Properties
Space-group type: P4/mmm (123)
Crystal system: tetragonal
M_tot: 2.0 μB per cell
Volume: 236.90 Å³ per cell
Raw formation energy: 1122 meV per atom